Entry 1:
# PCl2OF (meta-GGA SCAN, single point on PBEsol structure)
data_PCl2OF
_chemical_formula_sum 'P4 Cl8 O4 F4'
_cell_length_a 5.567
_cell_length_b 9.464
_cell_length_c 9.776
_cell_angle_alpha 116.76
_cell_angle_beta 90.00
_cell_angle_gamma 90.00
_symmetry_space_group_name_H-M 'P 1'
_symmetry_Int_Tables_number 1
_symmetry_space_group_name_Hall 'P 1'
loop_
_atom_site_label
_atom_site_fract_x
_atom_site_fract_y
_atom_site_fract_z
Cl1 0.297 0.101 0.427
Cl2 0.602 0.381 0.201
Cl3 0.703 0.899 0.573
Cl4 0.203 0.601 0.427
Cl5 0.797 0.399 0.573
Cl6 0.102 0.119 0.799
Cl7 0.398 0.619 0.799
Cl8 0.898 0.881 0.201
O1 0.520 0.307 0.773
O2 0.020 0.193 0.227
O3 0.980 0.807 0.773
O4 0.480 0.693 0.227
P1 0.375 0.554 0.234
P2 0.625 0.446 0.766
P3 0.875 0.946 0.766
P4 0.125 0.054 0.234
F1 0.178 0.469 0.111
F2 0.322 0.969 0.111
F3 0.678 0.031 0.889
F4 0.822 0.531 0.889
# **Uncorrected energy**: -8.878 eV per atom

Entry 2:
# Pb2ClOF (meta-GGA SCAN, single point on PBEsol structure)
data_Pb2ClOF
_chemical_formula_sum 'Pb4 Cl2 O2 F2'
_cell_length_a 5.714
_cell_length_b 5.746
_cell_length_c 6.837
_cell_angle_alpha 90.00
_cell_angle_beta 114.70
_cell_angle_gamma 90.00
_symmetry_space_group_name_H-M 'P 1'
_symmetry_Int_Tables_number 1
_symmetry_space_group_name_Hall 'P 1'
loop_
_atom_site_label
_atom_site_fract_x
_atom_site_fract_y
_atom_site_fract_z
F1 0.750 0.500 0.000
F2 0.250 0.500 0.000
Pb1 0.895 0.221 0.790
Pb2 0.605 0.221 0.210
Pb3 0.395 0.779 0.790
Pb4 0.105 0.779 0.210
Cl1 0.750 0.786 0.500
Cl2 0.250 0.214 0.500
O1 0.750 0.000 0.000
O2 0.250 0.000 0.000
# **Uncorrected energy**: -35.510 eV per atom

Entry 3:
# TeCl2OF (meta-GGA SCAN, single point on PBEsol structure)
data_TeCl2OF
_chemical_formula_sum 'Te1 Cl2 O1 F1'
_cell_length_a 4.011
_cell_length_b 5.184
_cell_length_c 5.184
_cell_angle_alpha 90.00
_cell_angle_beta 90.00
_cell_angle_gamma 90.00
_symmetry_space_group_name_H-M 'P 1'
_symmetry_Int_Tables_number 1
_symmetry_space_group_name_Hall 'P 1'
loop_
_atom_site_label
_atom_site_fract_x
_atom_site_fract_y
_atom_site_fract_z
Cl1 0.000 0.500 0.000
Cl2 0.000 0.000 0.500
O1 0.500 0.500 0.500
F1 0.000 0.000 0.000
Te1 0.500 0.000 0.000
# **Uncorrected energy**: -12.138 eV per atom

Entry 4:
# OsClF2 (meta-GGA SCAN, single point on PBEsol structure)
data_OsClF2
_chemical_formula_sum 'Os2 Cl2 F4'
_cell_length_a 3.863
_cell_length_b 3.863
_cell_length_c 7.729
_cell_angle_alpha 104.47
_cell_angle_beta 104.47
_cell_angle_gamma 90.00
_symmetry_space_group_name_H-M 'P 1'
_symmetry_Int_Tables_number 1
_symmetry_space_group_name_Hall 'P 1'
loop_
_atom_site_label
_atom_site_fract_x
_atom_site_fract_y
_atom_site_fract_z
Os1 0.000 0.000 0.000
Os2 0.250 0.750 0.500
Cl1 0.750 0.250 0.500
Cl2 0.500 0.500 0.000
F1 0.125 0.997 0.750
F2 0.625 0.753 0.750
F3 0.003 0.375 0.250
F4 0.247 0.875 0.250
# **Uncorrected energy**: -21.717 eV per atom

Entry 5:
# OsSCl2F (meta-GGA SCAN, single point on PBEsol structure)
data_OsSCl2F
_chemical_formula_sum 'Os1 S1 Cl2 F1'
_cell_length_a 4.371
_cell_length_b 4.703
_cell_length_c 4.703
_cell_angle_alpha 90.00
_cell_angle_beta 90.00
_cell_angle_gamma 90.00
_symmetry_space_group_name_H-M 'P 1'
_symmetry_Int_Tables_number 1
_symmetry_space_group_name_Hall 'P 1'
loop_
_atom_site_label
_atom_site_fract_x
_atom_site_fract_y
_atom_site_fract_z
Cl1 0.000 0.500 0.000
Cl2 0.000 0.000 0.500
S1 0.500 0.000 0.000
F1 0.500 0.500 0.500
Os1 0.000 0.000 0.000
# **Uncorrected energy**: -20.056 eV per atom

Entry 6:
# PClF2 (meta-GGA SCAN, single point on PBEsol structure)
data_PClF2
_chemical_formula_sum 'P2 Cl2 F4'
_cell_length_a 4.464
_cell_length_b 5.649
_cell_length_c 8.349
_cell_angle_alpha 68.99
_cell_angle_beta 85.36
_cell_angle_gamma 69.08
_symmetry_space_group_name_H-M 'P 1'
_symmetry_Int_Tables_number 1
_symmetry_space_group_name_Hall 'P 1'
loop_
_atom_site_label
_atom_site_fract_x
_atom_site_fract_y
_atom_site_fract_z
F1 0.044 0.289 0.575
F2 0.780 0.965 0.657
F3 0.248 0.152 0.206
F4 0.392 0.774 0.469
Cl1 0.691 0.272 0.866
Cl2 0.499 0.648 0.171
P1 0.021 0.045 0.741
P2 0.553 0.888 0.294
# **Uncorrected energy**: -8.208 eV per atom

Entry 7:
# P2PbClF (meta-GGA SCAN, single point on PBEsol structure)
data_P2PbClF
_chemical_formula_sum 'P2 Pb1 Cl1 F1'
_cell_length_a 4.154
_cell_length_b 4.154
_cell_length_c 5.719
_cell_angle_alpha 90.00
_cell_angle_beta 90.00
_cell_angle_gamma 90.00
_symmetry_space_group_name_H-M 'P 1'
_symmetry_Int_Tables_number 1
_symmetry_space_group_name_Hall 'P 1'
loop_
_atom_site_label
_atom_site_fract_x
_atom_site_fract_y
_atom_site_fract_z
P1 0.000 0.500 0.000
P2 0.500 0.000 0.000
Pb1 0.500 0.500 0.500
Cl1 0.000 0.000 0.500
F1 0.000 0.000 0.000
# **Uncorrected energy**: -21.514 eV per atom

Entry 8:
# ReP2ClF (meta-GGA SCAN, single point on PBEsol structure)
data_ReP2ClF
_chemical_formula_sum 'Re1 P2 Cl1 F1'
_cell_length_a 3.962
_cell_length_b 3.962
_cell_length_c 4.662
_cell_angle_alpha 90.00
_cell_angle_beta 90.00
_cell_angle_gamma 90.00
_symmetry_space_group_name_H-M 'P 1'
_symmetry_Int_Tables_number 1
_symmetry_space_group_name_Hall 'P 1'
loop_
_atom_site_label
_atom_site_fract_x
_atom_site_fract_y
_atom_site_fract_z
P1 0.000 0.500 0.000
P2 0.500 0.000 0.000
Cl1 0.000 0.000 0.500
Re1 0.500 0.500 0.500
F1 0.000 0.000 0.000
# **Uncorrected energy**: -19.433 eV per atom

Entry 9:
# P2SClF (meta-GGA SCAN, single point on PBEsol structure)
data_P2SClF
_chemical_formula_sum 'P2 S1 Cl1 F1'
_cell_length_a 4.489
_cell_length_b 4.574
_cell_length_c 4.574
_cell_angle_alpha 90.00
_cell_angle_beta 90.00
_cell_angle_gamma 90.00
_symmetry_space_group_name_H-M 'P 1'
_symmetry_Int_Tables_number 1
_symmetry_space_group_name_Hall 'P 1'
loop_
_atom_site_label
_atom_site_fract_x
_atom_site_fract_y
_atom_site_fract_z
S1 0.500 0.000 0.000
P1 0.000 0.500 0.000
P2 0.000 0.000 0.500
Cl1 0.000 0.000 0.000
F1 0.500 0.500 0.500
# **Uncorrected energy**: -6.999 eV per atom

Entry 10:
# TiP2ClF (meta-GGA SCAN, single point on PBEsol structure)
data_TiP2ClF
_chemical_formula_sum 'Ti1 P2 Cl1 F1'
_cell_length_a 3.996
_cell_length_b 3.996
_cell_length_c 4.952
_cell_angle_alpha 90.00
_cell_angle_beta 90.00
_cell_angle_gamma 90.00
_symmetry_space_group_name_H-M 'P 1'
_symmetry_Int_Tables_number 1
_symmetry_space_group_name_Hall 'P 1'
loop_
_atom_site_label
_atom_site_fract_x
_atom_site_fract_y
_atom_site_fract_z
Cl1 0.000 0.000 0.500
P1 0.500 0.000 0.000
P2 0.000 0.500 0.000
Ti1 0.500 0.500 0.500
F1 0.000 0.000 0.000
# **Relative energy among the computed polymorphs**: 250 meV per atom
# **Uncorrected energy**: -9.618 eV per atom

Entry 11:
# TiP2ClF (meta-GGA SCAN, single point on PBEsol structure)
data_TiP2ClF
_chemical_formula_sum 'Ti1 P2 Cl1 F1'
_cell_length_a 4.574
_cell_length_b 4.650
_cell_length_c 4.650
_cell_angle_alpha 90.00
_cell_angle_beta 90.00
_cell_angle_gamma 90.00
_symmetry_space_group_name_H-M 'P 1'
_symmetry_Int_Tables_number 1
_symmetry_space_group_name_Hall 'P 1'
loop_
_atom_site_label
_atom_site_fract_x
_atom_site_fract_y
_atom_site_fract_z
Cl1 0.500 0.000 0.000
Ti1 0.000 0.000 0.000
P1 0.000 0.500 0.000
P2 0.000 0.000 0.500
F1 0.500 0.500 0.500
# **Relative energy among the computed polymorphs**: 0 meV per atom
# **Uncorrected energy**: -9.868 eV per atom

Entry 12:
# TlP2ClF (meta-GGA SCAN, single point on PBEsol structure)
data_TlP2ClF
_chemical_formula_sum 'Tl1 P2 Cl1 F1'
_cell_length_a 5.156
_cell_length_b 5.175
_cell_length_c 5.175
_cell_angle_alpha 90.00
_cell_angle_beta 90.00
_cell_angle_gamma 90.00
_symmetry_space_group_name_H-M 'P 1'
_symmetry_Int_Tables_number 1
_symmetry_space_group_name_Hall 'P 1'
loop_
_atom_site_label
_atom_site_fract_x
_atom_site_fract_y
_atom_site_fract_z
P1 0.000 0.500 0.000
P2 0.000 0.000 0.500
Tl1 0.000 0.000 0.000
F1 0.500 0.500 0.500
Cl1 0.500 0.000 0.000
# **Uncorrected energy**: -20.074 eV per atom

Entry 13:
# ZnPCl2F (meta-GGA SCAN, single point on PBEsol structure)
data_ZnPCl2F
_chemical_formula_sum 'Zn1 P1 Cl2 F1'
_cell_length_a 4.559
_cell_length_b 4.559
_cell_length_c 4.812
_cell_angle_alpha 90.00
_cell_angle_beta 90.00
_cell_angle_gamma 90.00
_symmetry_space_group_name_H-M 'P 1'
_symmetry_Int_Tables_number 1
_symmetry_space_group_name_Hall 'P 1'
loop_
_atom_site_label
_atom_site_fract_x
_atom_site_fract_y
_atom_site_fract_z
F1 0.500 0.500 0.500
P1 0.000 0.000 0.500
Zn1 0.000 0.000 0.000
Cl1 0.000 0.500 0.000
Cl2 0.500 0.000 0.000
# **Uncorrected energy**: -8.579 eV per atom